ZrAlTe4: optimized geometry, PBE-GGA.

Lattice parameters (Å, degrees): 7.4619 7.4619 7.1208 90.00 90.00 90.00
Last column: nearest neighbours and their distance in Å.
Space group P-42c (No. 112)
Asymmetric unit:
Zr1 0.0000 0.0000 0.0000 (multiplicity 2)  4 Te 2.84
Al1 0.0000 0.5000 0.2500 (multiplicity 2)  4 Te 2.69
Te1 0.2447 0.2520 0.3451 (multiplicity 8)  1 Al 2.69, 1 Zr 2.84

Properties
Theoretical density = 5265 kg/m³
E_form (uncorrected) = -0.384 eV per atom
Uncorrected energy = -27.16 eV per formula unit
Distance to the lowest polymorph of the same formula = 0 meV per atom
Total moment = 0.0 μB per cell


InAsPt2: optimized geometry, PBE-GGA.

Lattice parameters (Å, degrees): 3.5566 3.6095 5.6808 90.00 90.00 90.00
Last column: nearest neighbours and their distance in Å.
Space group Pmm2 (No. 25)
Asymmetric unit:
In1 0.0000 0.0000 0.0000 (multiplicity 1)  6 Pt 2.78-2.89
As1 0.5000 0.5000 0.3623 (multiplicity 1)  5 Pt 2.49-2.64
Pt1 0.0000 0.0000 0.4910 (multiplicity 1)  4 As 2.64, 2 In 2.79-2.89
Pt2 0.5000 0.5000 0.8004 (multiplicity 1)  1 As 2.49, 4 In 2.78

Properties
Theoretical density = 13204 kg/m³
Uncorrected energy = -20.66 eV per formula unit
Total moment = 0.0 μB per cell


DyY2Th3Se6: optimized geometry, PBE-GGA.

Lattice parameters (Å, degrees): 6.9720 12.0028 7.5677 90.00 107.69 90.00
Last column: nearest neighbours and their distance in Å.
Space group C2/m (No. 12)
Asymmetric unit:
Dy1 0.0000 0.0000 0.0000 (multiplicity 2)  6 Se 2.86
Y1 0.0000 0.3335 0.0000 (multiplicity 4)  6 Se 2.87
Th1 0.0000 0.1670 0.5000 (multiplicity 4)  6 Se 3.01
Th2 0.0000 0.5000 0.5000 (multiplicity 2)  6 Se 3.01
Se1 0.2442 0.1664 0.2336 (multiplicity 8)  1 Dy 2.86, 2 Y 2.87, 3 Th 3.01
Se2 0.2455 0.5000 0.2342 (multiplicity 4)  1 Dy 2.86, 2 Y 2.87, 3 Th 3.01

Properties
Theoretical density = 8312 kg/m³
E_form (uncorrected) = -1.641 eV per atom
Uncorrected energy = -80.39 eV per formula unit
Total moment = 0.0 μB per cell


Fe2Cu2Mo: optimized geometry, PBE-GGA.

Lattice parameters (Å, degrees): 7.0249 7.0249 2.5955 90.00 90.00 90.00
Last column: nearest neighbours and their distance in Å.
Space group P4/mbm (No. 127)
Asymmetric unit:
Fe1 0.1189 0.3811 0.0000 (multiplicity 4)  3 Fe 2.36-2.60, 6 Cu 2.40-2.49
Cu1 0.1777 0.6777 0.5000 (multiplicity 4)  6 Fe 2.40-2.49, 2 Cu 2.60
Mo1 0.0000 0.0000 0.0000 (multiplicity 2)  2 Mo 2.60, 4 Fe 2.80, 8 Cu 2.89

Properties
Theoretical density = 8679 kg/m³
Uncorrected energy = -34.22 eV per formula unit
Distance to the lowest polymorph of the same formula = 0 meV per atom
Total moment = 9.9 μB per cell